Here is a geometry-optimized RbBaCu2Br8 structure from Alexandria via LeMat-Bulk. Energies are from PBE.

Cell lengths 8.788, 8.788, 8.788 Å; angles 128.62, 128.62, 75.62 degrees
Fractional positions:
Rb 0.000 0.000 0.000
Ba 0.250 0.750 0.500
Cu 0.500 0.500 0.000
Cu 0.750 0.250 0.500
Br 0.031 0.310 0.883
Br 0.223 0.483 0.650
Br 0.427 0.148 0.117
Br 0.427 0.777 0.260
Br 0.517 0.167 0.740
Br 0.690 0.573 0.721
Br 0.833 0.573 0.350
Br 0.852 0.969 0.279

Calculated values
- formation energy (no corrections) (meV/atom) = -907
- total magnetization (μB per cell) = 0.0
- energy (eV/atom) = -2.9462
- symmetry = No. 82

---

Here is a geometry-optimized UZnPd structure from Alexandria via LeMat-Bulk. Energies are from PBE.

Cell lengths 3.442, 3.442, 8.707 Å; angles 90.00, 90.00, 90.00 degrees
Fractional positions:
U 0.250 0.250 0.066
U 0.750 0.750 0.934
Zn 0.250 0.250 0.711
Zn 0.750 0.750 0.289
Pd 0.250 0.250 0.404
Pd 0.750 0.750 0.596

Calculated values
- total magnetization (μB per cell) = 0.0
- energy (eV/atom) = -6.1106
- symmetry = No. 129
- formation energy from the elements (eV per atom) = -0.192

---

Here is a geometry-optimized NaFe2AgSe structure from Alexandria via LeMat-Bulk. Energies are from PBE.

Cell lengths 4.801, 4.801, 5.166 Å; angles 90.00, 90.00, 90.00 degrees
Fractional positions:
Na 0.000 0.000 0.000
Fe 0.000 0.500 0.500
Fe 0.500 0.000 0.500
Ag 0.000 0.000 0.500
Se 0.500 0.500 0.000

Calculated values
- formation energy (no corrections) (meV/atom) = 1002
- total magnetization (μB per cell) = 6.6
- energy (eV/atom) = -3.9143
- symmetry = No. 123

---

Here is a geometry-optimized Ac2MgO structure from Alexandria via LeMat-Bulk. Energies are from PBE.

Cell lengths 9.018, 9.018, 9.018 Å; angles 25.15, 25.15, 25.15 degrees
Fractional positions:
Ac 0.223 0.223 0.223
Ac 0.777 0.777 0.777
Mg 0.000 0.000 0.000
O 0.500 0.500 0.500

Calculated values
- formation energy (no corrections) (meV/atom) = -1138
- total magnetization (μB per cell) = 0.0
- energy (eV/atom) = -4.8308
- symmetry = No. 166

---

Here is a geometry-optimized LiDyPd structure from Alexandria via LeMat-Bulk. Energies are from PBE.

Cell lengths 5.272, 5.272, 8.736 Å; angles 95.74, 95.74, 38.40 degrees
Fractional positions:
Li 0.128 0.128 0.419
Li 0.872 0.872 0.581
Dy 0.180 0.180 0.819
Dy 0.820 0.820 0.181
Pd 0.105 0.105 0.120
Pd 0.895 0.895 0.880

Calculated values
- energy above the lowest structure with this stoichiometry (meV/atom) = 374
- total magnetization (μB per cell) = 0.0
- energy (eV/atom) = -4.1290
- symmetry = No. 12
- formation energy from the elements (eV per atom) = -0.226

---

Here is a geometry-optimized Dy2SnAu2 structure from Alexandria via LeMat-Bulk. Energies are from PBE.

Cell lengths 8.345, 8.345, 3.595 Å; angles 90.00, 90.00, 90.00 degrees
Fractional positions:
Dy 0.164 0.336 0.000
Dy 0.336 0.836 0.000
Dy 0.664 0.164 0.000
Dy 0.836 0.664 0.000
Sn 0.000 0.000 0.000
Sn 0.500 0.500 0.000
Au 0.129 0.629 0.500
Au 0.371 0.129 0.500
Au 0.629 0.871 0.500
Au 0.871 0.371 0.500

Calculated values
- total magnetization (μB per cell) = 0.0
- energy (eV/atom) = -4.5690
- symmetry = No. 127
- formation energy from the elements (eV per atom) = -0.617

---

> Which formula does entry 6 have?

Dy2SnAu2

---

> energy of number 5 (LiDyPd)?

-4.1290 eV/atom

---

What did the fourth record say?
Here is a geometry-optimized Ac2MgO structure from Alexandria via LeMat-Bulk. Energies are from PBE.

Cell lengths 9.018, 9.018, 9.018 Å; angles 25.15, 25.15, 25.15 degrees
Fractional positions:
Ac 0.223 0.223 0.223
Ac 0.777 0.777 0.777
Mg 0.000 0.000 0.000
O 0.500 0.500 0.500

Calculated values
- formation energy (no corrections) (meV/atom) = -1138
- total magnetization (μB per cell) = 0.0
- energy (eV/atom) = -4.8308
- symmetry = No. 166